No. 1
Here is a relaxed structure of CaBTe2 from Alexandria. Energies are from PBE.

a b c (Å): 3.6774 3.6774 27.2096
angles (deg): 90.00 90.00 120.00
Last column: nearest neighbours and their distance in Å.
Space group R-3m (No. 166, hexagonal axes)
Inequivalent atoms, fractional coordinates:
Ca (0.0000, 0.0000, 0.0000) x3  2 Te 3.11
B (0.0000, 0.0000, 0.5000) x3  6 Te 2.56
Te (0.0000, 0.0000, 0.1143) x6  3 B 2.56

Summary:
ΔE_f (raw)   0.446 eV per atom
Crystal system   trigonal



No. 2
Here is a relaxed structure of Sr3SnMo from Alexandria. Energies are from PBE.

a b c (Å): 5.6886 5.6886 5.6886
angles (deg): 90.00 90.00 90.00
Last column: nearest neighbours and their distance in Å.
Space group Pm-3m (No. 221)
Inequivalent atoms, fractional coordinates:
Sr (0.0000, 0.0000, 0.5000) x3  2 Mo 2.84
Sn (0.5000, 0.5000, 0.5000) x1  12 Sr 4.02
Mo (0.0000, 0.0000, 0.0000) x1  6 Sr 2.84

Summary:
Crystal system   cubic
E_form   0.73 eV/atom



No. 3
Here is a relaxed structure of NiMo2W from Alexandria. Energies are from PBE.

a b c (Å): 3.3035 4.3202 8.3545
angles (deg): 90.00 90.00 90.00
Last column: nearest neighbours and their distance in Å.
Space group Imm2 (No. 44)
Inequivalent atoms, fractional coordinates:
Ni (0.0000, 0.0000, 0.0000) x2  4 W 2.69-2.98, 8 Mo 2.71-2.96
Mo (0.0000, 0.0000, 0.5020) x2  2 Mo 2.63, 2 W 2.63, 4 Ni 2.72
Mo (0.0000, 0.5000, 0.7578) x2  2 Mo 2.63, 2 Ni 2.71, 4 W 2.72
W (0.0000, 0.5000, 0.2463) x2  6 Mo 2.63-2.72, 2 Ni 2.69

Summary:
Crystal system   orthorhombic
E_form   0.15 eV/atom



Results for DFT total energy: -3.29, -3.25, -9.95 (in eV/atom, following the order of the records).